(1)
A relaxed structure of Y3GaPd, computed with GGA-PBEsol.

Cell and atoms, written as POSCAR:
```
Y3GaPd
1.0
5.277 0.000 0.000
0.000 5.277 0.000
0.000 0.000 5.277
Y Ga Pd
3 1 1
Direct
0.000 0.000 0.500
0.000 0.500 0.000
0.500 0.000 0.000
0.500 0.500 0.500
0.000 0.000 0.000
```

Calculated values
Magnetic moment: 0.00 μB per atom
DOS at the Fermi energy: 6.900 states/eV/cell
Calculated volume: 147 Å³ per cell

---

(2)
A relaxed structure of Zn2GaPd2, computed with GGA-PBEsol.

Cell and atoms, written as POSCAR:
```
Zn2GaPd2
1.0
6.659 0.000 0.000
0.000 6.659 0.000
0.000 0.000 3.382
Zn Ga Pd
4 2 4
Direct
0.143 0.357 0.000
0.357 0.857 0.000
0.643 0.143 0.000
0.857 0.643 0.000
0.000 0.000 0.500
0.500 0.500 0.500
0.156 0.656 0.500
0.344 0.156 0.500
0.656 0.844 0.500
0.844 0.344 0.500
```

Calculated values
Magnetic moment: 0.00 μB per atom
DOS at the Fermi energy: 3.164 states/eV/cell
Calculated volume: 150 Å³ per cell

---

(3)
A relaxed structure of Zn3Ga4Pd7, computed with GGA-PBEsol.

Cell and atoms, written as POSCAR:
```
Zn3Ga4Pd7
1.0
5.728 3.307 1.742
-5.728 3.307 1.742
0.000 -6.614 1.742
Zn Ga Pd
3 4 7
Direct
0.126 0.306 0.568
0.306 0.568 0.126
0.568 0.126 0.306
0.042 0.782 0.209
0.209 0.042 0.782
0.654 0.654 0.654
0.782 0.209 0.042
0.051 0.641 0.803
0.170 0.170 0.170
0.281 0.708 0.536
0.536 0.281 0.708
0.641 0.803 0.051
0.708 0.536 0.281
0.803 0.051 0.641
```

Calculated values
Magnetic moment: 0.00 μB per atom
DOS at the Fermi energy: 3.386 states/eV/cell
Calculated volume: 198 Å³ per cell

---

(4)
A relaxed structure of ZrGaPd3, computed with GGA-PBEsol.

Cell and atoms, written as POSCAR:
```
ZrGaPd3
1.0
4.832 0.000 0.000
0.000 4.832 0.000
0.000 0.000 4.832
Zr Ga Pd
1 1 3
Direct
0.000 0.000 0.000
0.500 0.500 0.500
0.000 0.000 0.500
0.000 0.500 0.000
0.500 0.000 0.000
```

Calculated values
Magnetic moment: 0.00 μB per atom
DOS at the Fermi energy: 2.768 states/eV/cell
Calculated volume: 113 Å³ per cell

---

no.,DFT formation energy (eV/atom)
1,-0.11
2,-0.43
3,-0.63
4,0.72